# CdAgSb

A geometry-optimized CdAgSb structure (PBE-GGA, Alexandria via LeMat-Bulk).

Lattice parameters (Å, degrees): 3.3070 3.3070 7.2911 90.00 90.00 120.00
Closest atoms and distances in Å follow each position.
Positions (direct):
1 Cd 0.0000 0.0000 0.0000  3 Ag 2.92
2 Ag 0.6667 0.3333 0.6974  3 Cd 2.92, 3 Sb 3.04
3 Sb 0.3333 0.6667 0.3726  3 Ag 3.04, 6 Sb 3.31, 3 Cd 3.32

Uncorrected formation energy: 102.1 meV/atom
Spin magnetization: 0.00 μB per formula unit
Theoretical density: 8.2 g cm⁻³

# Sr2MgI2O2

A geometry-optimized Sr2MgI2O2 structure (PBE-GGA, Alexandria via LeMat-Bulk).

Lattice parameters (Å, degrees): 4.1726 4.1726 20.8785 90.00 90.00 90.00
Closest atoms and distances in Å follow each position.
Positions (direct):
1 Sr 0.0000 0.0000 0.0775  4 O 2.64
2 Sr 0.0000 0.0000 0.9225  4 O 2.64
3 Sr 0.5000 0.5000 0.4225  4 O 2.64
4 Sr 0.5000 0.5000 0.5775  4 O 2.64
5 Mg 0.0000 0.0000 0.5000  4 O 2.09
6 Mg 0.5000 0.5000 0.0000  4 O 2.09
7 I 0.0000 0.0000 0.3419  1 Mg 3.30, 4 Sr 3.40
8 I 0.0000 0.0000 0.6581  1 Mg 3.30, 4 Sr 3.40
9 I 0.5000 0.5000 0.1581  1 Mg 3.30, 4 Sr 3.40
10 I 0.5000 0.5000 0.8419  1 Mg 3.30, 4 Sr 3.40
11 O 0.0000 0.5000 0.0000  2 Mg 2.09
12 O 0.0000 0.5000 0.5000  2 Mg 2.09
13 O 0.5000 0.0000 0.0000  2 Mg 2.09
14 O 0.5000 0.0000 0.5000  2 Mg 2.09

Uncorrected formation energy: -2246.0 meV/atom
Spin magnetization: 0.00 μB per formula unit
Theoretical density: 4.4 g cm⁻³

# HfHg3Te2Br6

A geometry-optimized HfHg3Te2Br6 structure (PBE-GGA, Alexandria via LeMat-Bulk).

Lattice parameters (Å, degrees): 9.0664 9.0664 7.2465 111.44 111.44 52.10
Closest atoms and distances in Å follow each position.
Positions (direct):
1 Hf 0.0000 0.0000 0.0000  6 Br 2.62-2.64
2 Hg 0.0000 0.5000 0.5000  2 Te 2.76
3 Hg 0.5000 0.0000 0.5000  2 Te 2.76
4 Hg 0.5000 0.5000 0.5000  2 Te 2.76
5 Te 0.3145 0.3145 0.3317  3 Hg 2.76
6 Te 0.6855 0.6855 0.6683  3 Hg 2.76
7 Br 0.0825 0.0825 0.3979  1 Hf 2.64
8 Br 0.1266 0.6561 0.0193  1 Hf 2.62
9 Br 0.3439 0.8734 0.9807  1 Hf 2.62
10 Br 0.6561 0.1266 0.0193  1 Hf 2.62
11 Br 0.8734 0.3439 0.9807  1 Hf 2.62
12 Br 0.9175 0.9175 0.6021  1 Hf 2.64

Uncorrected formation energy: -757.6 meV/atom
Spin magnetization: 0.00 μB per formula unit
Theoretical density: 5.9 g cm⁻³

# Rb2Hg10Bi

A geometry-optimized Rb2Hg10Bi structure (PBE-GGA, Alexandria via LeMat-Bulk).

Lattice parameters (Å, degrees): 10.8511 12.9037 6.9164 90.00 90.00 90.00
Closest atoms and distances in Å follow each position.
Positions (direct):
1 Rb 0.2113 0.0792 0.0000  10 Hg 3.85-3.98, 2 Bi 4.27
2 Rb 0.2887 0.5792 0.0000  10 Hg 3.85-3.98, 2 Bi 4.27
3 Rb 0.7113 0.4208 0.0000  10 Hg 3.85-3.98, 2 Bi 4.27
4 Rb 0.7887 0.9208 0.0000  10 Hg 3.85-3.98, 2 Bi 4.27
5 Hg 0.0356 0.6338 0.5000  6 Hg 2.98-3.16
6 Hg 0.0977 0.8099 0.2153  3 Hg 2.98-3.32, 1 Bi 3.32
7 Hg 0.0977 0.8099 0.7847  3 Hg 2.98-3.32, 1 Bi 3.32
8 Hg 0.1872 0.2080 0.5000  6 Hg 3.16-3.42, 1 Bi 3.37
9 Hg 0.2180 0.4551 0.5000  3 Hg 2.98-3.21, 1 Bi 3.11
10 Hg 0.2820 0.9551 0.5000  3 Hg 2.98-3.21, 1 Bi 3.11
11 Hg 0.3128 0.7080 0.5000  6 Hg 3.16-3.42, 1 Bi 3.37
12 Hg 0.4023 0.3099 0.2153  3 Hg 2.98-3.32, 1 Bi 3.32
13 Hg 0.4023 0.3099 0.7847  3 Hg 2.98-3.32, 1 Bi 3.32
14 Hg 0.4644 0.1338 0.5000  6 Hg 2.98-3.16
15 Hg 0.5356 0.8662 0.5000  6 Hg 2.98-3.16
16 Hg 0.5977 0.6901 0.2153  3 Hg 2.98-3.32, 1 Bi 3.32
17 Hg 0.5977 0.6901 0.7847  3 Hg 2.98-3.32, 1 Bi 3.32
18 Hg 0.6872 0.2920 0.5000  6 Hg 3.16-3.42, 1 Bi 3.37
19 Hg 0.7180 0.0449 0.5000  3 Hg 2.98-3.21, 1 Bi 3.11
20 Hg 0.7820 0.5449 0.5000  3 Hg 2.98-3.21, 1 Bi 3.11
21 Hg 0.8128 0.7920 0.5000  6 Hg 3.16-3.42, 1 Bi 3.37
22 Hg 0.9023 0.1901 0.2153  3 Hg 2.98-3.32, 1 Bi 3.32
23 Hg 0.9023 0.1901 0.7847  3 Hg 2.98-3.32, 1 Bi 3.32
24 Hg 0.9644 0.3662 0.5000  6 Hg 2.98-3.16
25 Bi 0.0000 0.0000 0.5000  8 Hg 3.11-3.37
26 Bi 0.5000 0.5000 0.5000  8 Hg 3.11-3.37

ΔE_f: -106.2 meV/atom
Spin magnetization: 0.00 μB per formula unit
Theoretical density: 8.2 g cm⁻³

# UTlCrSe4

A geometry-optimized UTlCrSe4 structure (PBE-GGA, Alexandria via LeMat-Bulk).

Lattice parameters (Å, degrees): 8.0321 8.0321 8.0321 121.15 109.50 98.57
Closest atoms and distances in Å follow each position.
Positions (direct):
1 U 0.0000 0.0000 0.0000  6 Se 2.83-2.91
2 U 0.5000 0.0000 0.5000  6 Se 2.83-2.91
3 Tl 0.4418 0.6918 0.7500  4 Se 2.99-3.03
4 Tl 0.5582 0.3082 0.2500  4 Se 2.99-3.03
5 Cr 0.0000 0.0000 0.5000  6 Se 2.57-2.60
6 Cr 0.0000 0.5000 0.0000  6 Se 2.57-2.60
7 Se 0.1645 0.7376 0.4269  2 Cr 2.57, 1 U 2.83
8 Se 0.1893 0.2624 0.9269  2 Cr 2.57, 1 U 2.83
9 Se 0.2470 0.2197 0.4727  1 Cr 2.60
10 Se 0.2470 0.7743 0.0273  1 Cr 2.60
11 Se 0.7530 0.2257 0.9727  1 Cr 2.60
12 Se 0.7530 0.7803 0.5273  1 Cr 2.60
13 Se 0.8107 0.7376 0.0731  2 Cr 2.57, 1 U 2.83
14 Se 0.8355 0.2624 0.5731  2 Cr 2.57, 1 U 2.83

Uncorrected formation energy: -707.6 meV/atom
Spin magnetization: 5.00 μB per formula unit
Theoretical density: 7.0 g cm⁻³

# ZnGeOs3

A geometry-optimized ZnGeOs3 structure (PBE-GGA, Alexandria via LeMat-Bulk).

Lattice parameters (Å, degrees): 4.5231 4.5231 4.5231 90.00 90.00 90.00
Closest atoms and distances in Å follow each position.
Positions (direct):
1 Zn 0.0000 0.0000 0.0000  12 Os 3.20
2 Ge 0.5000 0.5000 0.5000  6 Os 2.26
3 Os 0.0000 0.5000 0.5000  2 Ge 2.26
4 Os 0.5000 0.0000 0.5000  2 Ge 2.26
5 Os 0.5000 0.5000 0.0000  2 Ge 2.26

ΔE_f: 1714.0 meV/atom
Energy above the most stable polymorph in this dataset: 0.0 meV per atom
Spin magnetization: 1.76 μB per formula unit
Theoretical density: 12.7 g cm⁻³

> spin magnetization of number 5 (UTlCrSe4)?

5.00 μB per formula unit

> The highest spin magnetization belongs to which entry?

UTlCrSe4

> Look up the theoretical density of the fifth one.

7.0 g cm⁻³

> Look up the spin magnetization of the third one.

0.00 μB per formula unit